! PBE ErH6Ir2Pd, relaxed; values from VASP
! * total DFT energy (no corrections): -5.037 eV/atom
! * magnetic moment: 0.0 Bohr magnetons per cell
&SYSTEM
  ibrav = 0, nat = 20, ntyp = 4
/
ATOMIC_SPECIES
H 1.01 H.upf
Pd 106.42 Pd.upf
Ir 192.22 Ir.upf
Er 167.26 Er.upf
CELL_PARAMETERS angstrom
-1.985 -0.393 -5.672
-3.605 -4.380 2.023
-2.614 4.245 1.649
ATOMIC_POSITIONS angstrom
H -5.890 -1.470 0.239
H -3.865 -1.824 -3.999
H -4.338 1.297 1.999
H -3.295 -0.605 -0.283
H -3.834 -2.617 -1.439
H -4.908 0.078 -1.717
H -2.248 1.718 0.392
H -0.949 -0.424 -0.394
H -2.313 0.943 -2.239
H -5.956 -2.246 -2.392
H -7.254 -0.103 -1.606
H -4.369 2.089 -0.562
Pd -3.306 -0.976 -2.087
Pd -4.897 0.448 0.086
Ir -6.078 -0.487 -2.862
Ir -3.006 3.132 -0.340
Ir -5.198 -3.660 -1.660
Ir -2.125 -0.040 0.862
Er -4.249 2.042 -2.990
Er -3.954 -2.570 0.990